A plane-wave DFT calculation with PBE was carried out for a relaxed SmPu2Tl3Se6 crystal.

## Properties
The uncorrected formation energy comes out at -1.193 eV/atom. The raw total energy comes out at -75.71 eV per formula unit.

Cell and atoms, written as extended XYZ:
```
12
Lattice="3.684 -6.379 0.000 3.684 6.379 0.000 -2.455 0.000 7.723" Properties=species:S:1:pos:R:3 pbc="T T T"
Sm 0.000 0.000 0.000
Pu 3.684 2.127 0.000
Pu 3.684 -2.127 0.000
Tl 2.456 4.255 3.862
Tl 2.456 0.000 3.862
Tl 2.456 -4.255 3.862
Se 1.242 2.150 1.589
Se 0.028 0.000 6.139
Se 1.242 -2.150 1.589
Se 3.670 2.150 6.134
Se 4.884 0.000 1.585
Se 3.670 -2.150 6.134
```

=====

A plane-wave DFT calculation with PBE was carried out for a relaxed LaTl2Au crystal.

## Properties
As for the energy relative to the lowest polymorph listed for this composition: 72 meV/atom. As for the energy of formation: -0.410 eV per atom. The raw total energy comes out at -14.58 eV per formula unit.

Cell and atoms, written as extended XYZ:
```
8
Lattice="5.245 0.000 0.000 0.000 5.245 0.000 0.000 0.000 7.765" Properties=species:S:1:pos:R:3 pbc="T T T"
La 0.000 0.000 0.000
La 2.622 2.622 3.883
Tl 0.000 0.000 3.883
Tl 0.000 2.622 1.941
Tl 2.622 0.000 5.824
Tl 2.622 2.622 0.000
Au 0.000 2.622 5.824
Au 2.622 0.000 1.941
```

=====

A plane-wave DFT calculation with PBE was carried out for a relaxed Ca2Ni2Cl crystal.

## Properties
The uncorrected formation energy comes out at -0.218 eV/atom. The raw total energy comes out at -18.50 eV per formula unit.

Cell and atoms, written as extended XYZ:
```
10
Lattice="5.503 0.000 0.000 0.000 5.503 0.000 0.000 0.000 7.069" Properties=species:S:1:pos:R:3 pbc="T T T"
Ca 0.000 2.752 1.767
Ca 0.000 2.752 5.301
Ca 2.752 0.000 1.767
Ca 2.752 0.000 5.301
Ni 0.000 0.000 1.124
Ni 0.000 0.000 5.945
Ni 2.752 2.752 2.410
Ni 2.752 2.752 4.658
Cl 0.000 0.000 3.534
Cl 2.752 2.752 0.000
```

=====

A plane-wave DFT calculation with PBE was carried out for a relaxed TcP2S crystal.

## Properties
The uncorrected formation energy comes out at 0.228 eV/atom. The raw total energy comes out at -24.40 eV per formula unit.

Cell and atoms, written as extended XYZ:
```
16
Lattice="5.488 0.000 0.000 0.000 5.488 0.000 0.000 0.000 10.301" Properties=species:S:1:pos:R:3 pbc="T T T"
Tc 0.000 0.000 0.000
Tc 0.000 2.744 2.575
Tc 2.744 0.000 7.726
Tc 2.744 2.744 5.151
P 1.235 1.372 1.288
P 1.372 3.979 3.863
P 1.372 4.254 9.014
P 1.510 1.372 6.438
P 3.979 4.116 6.438
P 4.116 1.235 9.014
P 4.116 1.510 3.863
P 4.254 4.116 1.288
S 0.000 0.000 5.151
S 0.000 2.744 7.726
S 2.744 0.000 2.575
S 2.744 2.744 0.000
```

=====

A plane-wave DFT calculation with PBE was carried out for a relaxed Pr6Dy4Er crystal.

## Properties
As for the energy relative to the lowest polymorph listed for this composition: 153 meV/atom. As for the energy of formation: 0.292 eV per atom. The raw total energy comes out at -48.44 eV per formula unit.

Cell and atoms, written as extended XYZ:
```
11
Lattice="-3.425 3.425 8.233 3.425 -3.425 8.233 3.425 3.425 -8.233" Properties=species:S:1:pos:R:3 pbc="T T T"
Pr 3.425 0.000 0.000
Pr 2.110 2.110 -2.939
Pr 1.315 -1.315 11.172
Pr 0.000 3.425 0.000
Pr 1.315 1.315 5.294
Pr -1.315 1.315 11.172
Dy 2.228 -2.228 6.375
Dy 1.197 1.197 1.858
Dy -2.228 2.228 6.375
Dy 2.228 2.228 10.091
Er 0.000 0.000 8.233
```

=====

A plane-wave DFT calculation with PBE was carried out for a relaxed Sc2CuPb2 crystal.

## Properties
As for the energy relative to the lowest polymorph listed for this composition: 45 meV/atom. As for the energy of formation: -0.109 eV per atom. The raw total energy comes out at -24.72 eV per formula unit.

Cell and atoms, written as extended XYZ:
```
10
Lattice="7.186 0.000 0.000 0.000 7.186 0.000 0.000 0.000 4.628" Properties=species:S:1:pos:R:3 pbc="T T T"
Sc 1.146 2.447 0.000
Sc 2.447 6.040 0.000
Sc 4.739 1.146 0.000
Sc 6.040 4.739 0.000
Cu 0.000 0.000 0.000
Cu 3.593 3.593 0.000
Pb 1.131 4.724 2.314
Pb 2.462 1.131 2.314
Pb 4.724 6.055 2.314
Pb 6.055 2.462 2.314
```

=====

A plane-wave DFT calculation with PBE was carried out for a relaxed Si2NiRh crystal.

## Properties
The uncorrected formation energy comes out at -0.388 eV/atom. The raw total energy comes out at -25.53 eV per formula unit.

Cell and atoms, written as extended XYZ:
```
8
Lattice="5.888 0.000 0.000 0.000 5.900 0.000 0.000 0.000 2.867" Properties=species:S:1:pos:R:3 pbc="T T T"
Si 1.472 1.475 0.000
Si 1.472 4.425 0.000
Si 4.416 1.475 0.000
Si 4.416 4.425 0.000
Ni 0.000 0.000 1.433
Ni 2.944 2.950 1.433
Rh 0.000 2.950 1.433
Rh 2.944 0.000 1.433
```

=====

A plane-wave DFT calculation with PBE was carried out for a relaxed RuIO3 crystal.

## Properties
The uncorrected formation energy comes out at -0.120 eV/atom. The raw total energy comes out at -26.30 eV per formula unit.

Cell and atoms, written as extended XYZ:
```
5
Lattice="3.962 0.000 0.000 0.000 3.962 0.000 0.000 0.000 3.962" Properties=species:S:1:pos:R:3 pbc="T T T"
Ru 0.000 0.000 0.000
I 1.981 1.981 1.981
O 0.000 0.000 1.981
O 0.000 1.981 0.000
O 1.981 0.000 0.000
```

=====

A plane-wave DFT calculation with PBE was carried out for a relaxed Ac3Al3Cd2 crystal.

## Properties
As for the energy of formation: -0.324 eV per atom. The raw total energy comes out at -27.98 eV per formula unit.

Cell and atoms, written as extended XYZ:
```
16
Lattice="2.472 -5.792 0.000 2.472 5.792 0.000 0.000 0.000 16.180" Properties=species:S:1:pos:R:3 pbc="T T T"
Ac 2.472 4.673 9.886
Ac 2.472 4.673 14.385
Ac 2.472 1.431 12.135
Ac 2.472 -1.431 4.045
Ac 2.472 -4.673 1.796
Ac 2.472 -4.673 6.295
Al 2.472 1.999 4.045
Al 2.472 1.228 8.684
Al 2.472 1.228 15.587
Al 2.472 -1.228 0.594
Al 2.472 -1.228 7.497
Al 2.472 -1.999 12.135
Cd 2.472 3.455 1.526
Cd 2.472 3.455 6.564
Cd 2.472 -3.455 9.616
Cd 2.472 -3.455 14.654
```

=====

A plane-wave DFT calculation with PBE was carried out for a relaxed KMg3 crystal.

## Properties
As for the energy of formation: 0.266 eV per atom. The raw total energy comes out at -4.82 eV per formula unit.

Cell and atoms, written as extended XYZ:
```
8
Lattice="7.136 0.000 0.000 0.000 10.367 0.000 0.000 0.000 3.305" Properties=species:S:1:pos:R:3 pbc="T T T"
K 0.000 0.000 0.000
K 3.568 5.183 0.000
Mg 0.000 5.183 0.000
Mg 1.784 2.592 1.653
Mg 1.784 7.775 1.653
Mg 3.568 0.000 0.000
Mg 5.352 2.592 1.653
Mg 5.352 7.775 1.653
```

=====

A plane-wave DFT calculation with PBE was carried out for a relaxed LiInAuO4 crystal.

## Properties
The uncorrected formation energy comes out at -0.635 eV/atom. The raw total energy comes out at -32.21 eV per formula unit.

Cell and atoms, written as extended XYZ:
```
14
Lattice="2.901 -5.001 0.000 2.901 5.001 0.000 0.000 0.000 6.392" Properties=species:S:1:pos:R:3 pbc="T T T"
Li 2.901 3.336 4.794
Li 2.901 -3.336 1.598
In 2.901 0.000 0.000
In 2.901 0.000 3.196
Au 2.901 3.508 1.598
Au 2.901 -3.508 4.794
O 1.356 0.086 1.598
O 1.356 -0.086 4.794
O 2.901 2.141 0.084
O 2.901 2.141 3.112
O 2.901 -2.141 3.280
O 2.901 -2.141 6.308
O 4.446 0.086 1.598
O 4.446 -0.086 4.794
```

=====

A plane-wave DFT calculation with PBE was carried out for a relaxed NaBiB2Sb crystal.

## Properties
The uncorrected formation energy comes out at 1.911 eV/atom. The raw total energy comes out at -13.12 eV per formula unit.

Cell and atoms, written as extended XYZ:
```
5
Lattice="4.686 0.000 0.000 0.000 4.686 0.000 0.000 0.000 5.483" Properties=species:S:1:pos:R:3 pbc="T T T"
Na 0.000 0.000 0.000
Bi 2.343 2.343 2.742
B 0.000 2.343 0.000
B 2.343 0.000 0.000
Sb 0.000 0.000 2.742
```

=====

A plane-wave DFT calculation with PBE was carried out for a relaxed CeThInAu crystal.

## Properties
As for the energy relative to the lowest polymorph listed for this composition: 0 meV/atom. As for the energy of formation: -0.454 eV per atom. The raw total energy comes out at -21.19 eV per formula unit.

Cell and atoms, written as extended XYZ:
```
4
Lattice="3.447 0.000 0.000 0.000 3.447 0.000 0.000 0.000 8.908" Properties=species:S:1:pos:R:3 pbc="T T T"
Ce 0.000 0.000 0.000
Th 0.000 0.000 4.157
In 1.723 1.723 6.552
Au 1.723 1.723 2.064
```

=====

A plane-wave DFT calculation with PBE was carried out for a relaxed Tb4Sm2Hg3O2 crystal.

## Properties
The uncorrected formation energy comes out at -1.272 eV/atom. The raw total energy comes out at -52.77 eV per formula unit.

Cell and atoms, written as extended XYZ:
```
11
Lattice="-2.392 2.392 11.772 2.392 -2.392 11.772 2.392 2.392 -11.772" Properties=species:S:1:pos:R:3 pbc="T T T"
Tb 2.392 0.000 1.982
Tb 2.392 0.000 9.790
Tb 0.000 2.392 1.982
Tb 0.000 2.392 9.790
Sm 0.000 0.000 4.731
Sm 0.000 0.000 18.813
Hg 0.000 0.000 7.759
Hg 0.000 0.000 11.772
Hg 0.000 0.000 15.785
O 0.000 0.000 2.343
O 0.000 0.000 21.201
```

=====

A plane-wave DFT calculation with PBE was carried out for a relaxed Al3CrSi crystal.

## Properties
The uncorrected formation energy comes out at 0.774 eV/atom. As for the energy relative to the lowest polymorph listed for this composition: 0 meV/atom. The raw total energy comes out at -22.40 eV per formula unit.

Cell and atoms, written as extended XYZ:
```
5
Lattice="4.631 0.000 0.000 0.000 4.631 0.000 0.000 0.000 4.631" Properties=species:S:1:pos:R:3 pbc="T T T"
Al 0.000 0.000 2.315
Al 0.000 2.315 0.000
Al 2.315 0.000 0.000
Cr 0.000 0.000 0.000
Si 2.315 2.315 2.315
```

=====

A plane-wave DFT calculation with PBE was carried out for a relaxed BeCo2Mo crystal.

## Properties
As for the energy of formation: 0.083 eV per atom. The raw total energy comes out at -28.44 eV per formula unit.

Cell and atoms, written as extended XYZ:
```
4
Lattice="3.623 0.000 0.000 0.000 3.623 0.000 0.000 0.000 3.445" Properties=species:S:1:pos:R:3 pbc="T T T"
Be 0.000 0.000 0.000
Co 0.000 1.811 1.722
Co 1.811 0.000 1.722
Mo 1.811 1.811 0.000
```

=====

A plane-wave DFT calculation with PBE was carried out for a relaxed SrYCr4 crystal.

## Properties
As for the energy of formation: 0.780 eV per atom. The raw total energy comes out at -41.96 eV per formula unit.

Cell and atoms, written as extended XYZ:
```
6
Lattice="0.000 3.740 3.740 3.740 0.000 3.740 3.740 3.740 0.000" Properties=species:S:1:pos:R:3 pbc="T T T"
Sr 0.000 0.000 0.000
Y 5.610 5.610 5.610
Cr 2.801 2.801 2.801
Cr 4.679 4.679 2.801
Cr 4.679 2.801 4.679
Cr 2.801 4.679 4.679
```

=====

A plane-wave DFT calculation with PBE was carried out for a relaxed Tb2PrCu crystal.

## Properties
As for the energy relative to the lowest polymorph listed for this composition: 130 meV/atom. As for the energy of formation: 0.033 eV per atom. The raw total energy comes out at -18.01 eV per formula unit.

Cell and atoms, written as extended XYZ:
```
12
Lattice="3.650 0.000 0.000 -1.825 3.161 0.000 0.000 0.000 30.055" Properties=species:S:1:pos:R:3 pbc="T T T"
Tb 0.000 0.000 6.994
Tb 0.000 0.000 23.060
Tb 0.000 2.107 13.042
Tb 0.000 2.107 27.031
Tb 1.825 1.054 3.024
Tb 1.825 1.054 17.013
Pr 0.000 0.000 0.000
Pr 0.000 2.107 20.036
Pr 1.825 1.054 10.018
Cu 0.000 0.000 15.027
Cu 0.000 2.107 5.009
Cu 1.825 1.054 25.046
```

=====

A plane-wave DFT calculation with PBE was carried out for a relaxed Pu2CdAu3 crystal.

## Properties
As for the energy relative to the lowest polymorph listed for this composition: 209 meV/atom. As for the energy of formation: -0.219 eV per atom. The raw total energy comes out at -40.72 eV per formula unit.

Cell and atoms, written as extended XYZ:
```
12
Lattice="3.057 0.000 0.000 0.000 5.463 0.000 0.000 0.000 17.179" Properties=species:S:1:pos:R:3 pbc="T T T"
Pu 0.000 0.000 2.704
Pu 0.000 0.000 14.475
Pu 1.528 2.732 5.886
Pu 1.528 2.732 11.293
Cd 0.000 0.000 8.590
Cd 1.528 2.732 0.000
Au 0.000 0.000 5.697
Au 0.000 0.000 11.482
Au 0.000 2.732 8.590
Au 1.528 0.000 0.000
Au 1.528 2.732 2.892
Au 1.528 2.732 14.287
```

=====

A plane-wave DFT calculation with PBE was carried out for a relaxed CsMo2H crystal.

## Properties
As for the energy relative to the lowest polymorph listed for this composition: 1170 meV/atom. The raw total energy comes out at -15.81 eV per formula unit.

Cell and atoms, written as extended XYZ:
```
16
Lattice="6.369 0.000 0.000 0.000 6.369 0.000 0.000 0.000 6.369" Properties=species:S:1:pos:R:3 pbc="T T T"
Cs 0.000 0.000 0.000
Cs 0.000 3.184 3.184
Cs 3.184 0.000 3.184
Cs 3.184 3.184 0.000
Mo 1.592 1.592 1.592
Mo 1.592 1.592 4.776
Mo 1.592 4.776 1.592
Mo 1.592 4.776 4.776
Mo 4.776 1.592 1.592
Mo 4.776 1.592 4.776
Mo 4.776 4.776 1.592
Mo 4.776 4.776 4.776
H 0.000 0.000 3.184
H 0.000 3.184 0.000
H 3.184 0.000 0.000
H 3.184 3.184 3.184
```

=====

A plane-wave DFT calculation with PBE was carried out for a relaxed PaInIrPd crystal.

## Properties
As for the energy of formation: -0.543 eV per atom. The raw total energy comes out at -28.46 eV per formula unit.

Cell and atoms, written as extended XYZ:
```
16
Lattice="6.819 0.000 0.000 0.000 6.819 0.000 0.000 0.000 6.819" Properties=species:S:1:pos:R:3 pbc="T T T"
Pa 0.000 0.000 0.000
Pa 0.000 3.409 3.409
Pa 3.409 0.000 3.409
Pa 3.409 3.409 0.000
In 0.000 0.000 3.409
In 0.000 3.409 0.000
In 3.409 0.000 0.000
In 3.409 3.409 3.409
Ir 1.705 1.705 1.705
Ir 1.705 5.114 5.114
Ir 5.114 1.705 5.114
Ir 5.114 5.114 1.705
Pd 1.705 1.705 5.114
Pd 1.705 5.114 1.705
Pd 5.114 1.705 1.705
Pd 5.114 5.114 5.114
```

=====

A plane-wave DFT calculation with PBE was carried out for a relaxed BaBeAu4 crystal.

## Properties
As for the energy relative to the lowest polymorph listed for this composition: 420 meV/atom. As for the energy of formation: -0.011 eV per atom. The raw total energy comes out at -18.82 eV per formula unit.

Cell and atoms, written as extended XYZ:
```
6
Lattice="0.000 4.037 4.037 4.037 0.000 4.037 4.037 4.037 0.000" Properties=species:S:1:pos:R:3 pbc="T T T"
Ba 0.000 0.000 0.000
Be 6.055 6.055 6.055
Au 3.036 3.036 3.036
Au 5.037 5.037 3.036
Au 5.037 3.036 5.037
Au 3.036 5.037 5.037
```

=====

A plane-wave DFT calculation with PBE was carried out for a relaxed Tl2Re crystal.

## Properties
As for the energy relative to the lowest polymorph listed for this composition: 1327 meV/atom. As for the energy of formation: 1.893 eV per atom. The raw total energy comes out at -11.50 eV per formula unit.

Cell and atoms, written as extended XYZ:
```
6
Lattice="0.000 4.222 4.222 4.222 0.000 4.222 4.222 4.222 0.000" Properties=species:S:1:pos:R:3 pbc="T T T"
Tl 0.000 0.000 0.000
Tl 2.111 2.111 0.000
Tl 2.111 0.000 2.111
Tl 0.000 2.111 2.111
Re 3.167 3.167 3.167
Re 5.278 5.278 5.278
```